--- w ---
An optimized crystal structure of Cu2TcAg. Source: Alexandria, functional PBE.

Properties
* crystal system: orthorhombic
* spin magnetization: 0.6 μB/cell

Cell lengths 2.625, 4.614, 4.822 Å; angles 90.00, 90.00, 90.00 degrees
Space group Pmmm (No. 47)
Inequivalent atoms, fractional coordinates:
Cu (0.000, 0.000, 0.000)
Cu (0.500, 0.000, 0.500)
Tc (0.000, 0.500, 0.500)
Ag (0.500, 0.500, 0.000)

--- x ---
An optimized crystal structure of Cu2TcAg. Source: Alexandria, functional PBE.

Properties
* crystal system: tetragonal
* spin magnetization: 0.0 μB/cell

Cell lengths 2.631, 2.631, 8.123 Å; angles 90.00, 90.00, 90.00 degrees
Space group P4mm (No. 99)
Inequivalent atoms, fractional coordinates:
Cu (0.000, 0.000, 0.000)
Cu (0.500, 0.500, 0.219)
Tc (0.000, 0.000, 0.460)
Ag (0.500, 0.500, 0.743)

--- y ---
An optimized crystal structure of Cu2TcAg. Source: Alexandria, functional PBE.

Properties
* crystal system: tetragonal
* spin magnetization: 0.0 μB/cell

Cell lengths 2.661, 2.661, 7.964 Å; angles 90.00, 90.00, 90.00 degrees
Space group P4/mmm (No. 123)
Inequivalent atoms, fractional coordinates:
Cu (0.000, 0.000, 0.240)
Tc (0.500, 0.500, 0.000)
Ag (0.500, 0.500, 0.500)

So which one is most stable? That would be y, about 45 meV/atom below the next structure.